Entry 1:
The following is a DFT calculation (PBE) of a geometry-optimized Hf6Sb2N structure.

Cell: 5.8724 6.7050 10.7491 Å, 90.00 121.36 90.00°
Last column: nearest neighbours and their distance in Å.
Atoms (fractional coordinates):
Hf (0.1219, 0.0113, 0.2398)  1 N 2.29
Hf (0.1219, 0.4887, 0.7398)  1 N 2.29
Hf (0.1794, 0.6995, 0.0296)  1 N 2.22
Hf (0.1794, 0.8005, 0.5296)  1 N 2.22
Hf (0.3755, 0.1905, 0.0289)  1 N 2.42
Hf (0.3755, 0.3095, 0.5289)  1 N 2.42
Hf (0.6245, 0.6905, 0.4711)  1 N 2.42
Hf (0.6245, 0.8095, 0.9711)  1 N 2.42
Hf (0.8206, 0.1995, 0.4704)  1 N 2.22
Hf (0.8206, 0.3005, 0.9704)  1 N 2.22
Hf (0.8781, 0.5113, 0.2602)  1 N 2.29
Hf (0.8781, 0.9887, 0.7602)  1 N 2.29
Sb (0.3412, 0.1017, 0.7511)  8 Hf 2.85-3.05
Sb (0.3412, 0.3983, 0.2511)  8 Hf 2.85-3.05
Sb (0.6588, 0.6017, 0.7489)  8 Hf 2.85-3.05
Sb (0.6588, 0.8983, 0.2489)  8 Hf 2.85-3.05
N (0.0000, 0.0000, 0.0000)  6 Hf 2.22-2.42
N (0.0000, 0.5000, 0.5000)  6 Hf 2.22-2.42

Properties
Uncorrected formation energy: -585 meV/atom
DOS(E_F): 9.3 states/eV/cell

Entry 2:
The following is a DFT calculation (PBE) of a geometry-optimized Ac2TbSb4Pd3 structure.

Cell: 4.7193 4.7193 11.7955 Å, 90.00 90.00 90.00°
Last column: nearest neighbours and their distance in Å.
Atoms (fractional coordinates):
Ac (0.0000, 0.5000, 0.2257)  8 Sb 3.56-3.63, 4 Pd 3.57
Ac (0.5000, 0.0000, 0.7743)  8 Sb 3.56-3.63, 4 Pd 3.57
Tb (0.0000, 0.0000, 0.5000)  4 Sb 2.97
Sb (0.0000, 0.0000, 0.0000)  4 Pd 2.75
Sb (0.0000, 0.5000, 0.6535)  3 Pd 2.68-2.97, 2 Tb 2.97
Sb (0.5000, 0.0000, 0.3465)  3 Pd 2.68-2.97, 2 Tb 2.97
Sb (0.5000, 0.5000, 0.0000)  4 Pd 2.75
Pd (0.0000, 0.5000, 0.8807)  5 Sb 2.68-2.75
Pd (0.5000, 0.0000, 0.1193)  5 Sb 2.68-2.75
Pd (0.5000, 0.5000, 0.5000)  4 Sb 2.97

Properties
Uncorrected formation energy: -889 meV/atom
DOS(E_F): 4.2 states/eV/cell

Entry 3:
The following is a DFT calculation (PBE) of a geometry-optimized SmTcP2Rh structure.

Cell: 5.7227 5.7227 5.7227 Å, 138.19 138.19 60.62°
Last column: nearest neighbours and their distance in Å.
Atoms (fractional coordinates):
Sm (0.0000, 0.0000, 0.0000)  8 P 3.15, 4 Tc 3.21, 4 Rh 3.21
Tc (0.7500, 0.2500, 0.5000)  4 P 2.38
P (0.3733, 0.3733, 0.0000)  2 Tc 2.38, 2 Rh 2.38, 1 P 2.50
P (0.6267, 0.6267, 0.0000)  2 Tc 2.38, 2 Rh 2.38, 1 P 2.50
Rh (0.2500, 0.7500, 0.5000)  4 P 2.38

Properties
Energy relative to the elements: -1.024 eV/atom
DOS(E_F): 1.9 states/eV/cell

Entry 4:
The following is a DFT calculation (PBE) of a geometry-optimized TbY14Mg structure.

Cell: 11.3187 7.2347 7.2347 Å, 60.06 90.00 90.00°
Last column: nearest neighbours and their distance in Å.
Atoms (fractional coordinates):
Tb (0.0000, 0.0000, 0.0000)  10 Y 3.50-3.72, 2 Mg 3.62
Y (0.0000, 0.0014, 0.5137)  8 Y 3.50-3.71, 2 Tb 3.51-3.72, 2 Mg 3.61-3.62
Y (0.0000, 0.5137, 0.0014)  8 Y 3.50-3.71, 2 Tb 3.51-3.72, 2 Mg 3.61-3.62
Y (0.2458, 0.3380, 0.8384)  1 Mg 3.48, 1 Tb 3.50, 10 Y 3.50-3.62
Y (0.2458, 0.8384, 0.3380)  1 Mg 3.48, 1 Tb 3.50, 10 Y 3.50-3.62
Y (0.2471, 0.3384, 0.3384)  1 Mg 3.49, 11 Y 3.51-3.62
Y (0.2526, 0.8385, 0.8385)  11 Y 3.50-3.62, 1 Tb 3.50
Y (0.5000, 0.0063, 0.5030)  12 Y 3.50-3.65
Y (0.5000, 0.0070, 0.0070)  12 Y 3.51-3.65
Y (0.5000, 0.5030, 0.0063)  12 Y 3.50-3.65
Y (0.5000, 0.5057, 0.5057)  12 Y 3.55-3.62
Y (0.7474, 0.8385, 0.8385)  11 Y 3.50-3.62, 1 Tb 3.50
Y (0.7529, 0.3384, 0.3384)  1 Mg 3.49, 11 Y 3.51-3.62
Y (0.7542, 0.3380, 0.8384)  1 Mg 3.48, 1 Tb 3.50, 10 Y 3.50-3.62
Y (0.7542, 0.8384, 0.3380)  1 Mg 3.48, 1 Tb 3.50, 10 Y 3.50-3.62
Mg (0.0000, 0.5048, 0.5048)  10 Y 3.48-3.62, 2 Tb 3.62

Properties
Energy relative to the elements: 0.000 eV/atom
DOS(E_F): 26.2 states/eV/cell